Ce2PmH6: optimized geometry, PBE.

**M_tot**: 1.656 μB per formula unit
**Fermi-level density of states**: 13.99 states/eV per cell
**Crystal system**: orthorhombic
**Symmetry**: Immm, No. 71
**DFT total energy**: -0.3422 Ry/atom

Cell lengths 3.835, 5.442, 6.656 Å; angles 114.13, 106.74, 90.00 degrees
Each line ends with the local moment (μB).
Element x y z (fractional)
Ce1 0.666 0.666 0.333  0.71
H1 0.834 0.584 0.667  0.00
H2 0.834 0.083 0.667  0.00
H3 0.500 0.751 0.000  0.00
Ce2 0.334 0.334 0.667  0.71
H4 0.166 0.416 0.333  0.00
H5 0.166 0.917 0.333  0.00
H6 0.500 0.249 0.000  0.00
Pm1 0.000 0.000 0.000  0.01

***

CoSi2Hg: optimized geometry, PBE.

**M_tot**: 0.000 μB per formula unit
**Fermi-level density of states**: 2.72 states/eV per cell
**ΔE_f (raw)**: 0.35 eV per atom
**Crystal system**: monoclinic
**Symmetry**: P2/m, No. 10
**DFT total energy**: -0.3093 Ry/atom

Cell lengths 3.810, 4.104, 5.002 Å; angles 65.97, 90.00, 90.00 degrees
Element x y z (fractional)
Si1 0.000 0.108 0.070
Hg1 0.500 0.750 0.750
Co1 0.500 0.250 0.250
Si2 0.000 0.392 0.430

***

Sr2TlRe: optimized geometry, PBE.

**M_tot**: 1.819 μB per formula unit
**Fermi-level density of states**: 5.64 states/eV per cell
**Crystal system**: tetragonal
**Symmetry**: I4/mmm, No. 139
**DFT total energy**: -0.2785 Ry/atom

Cell lengths 5.639, 5.639, 5.639 Å; angles 125.06, 125.08, 81.42 degrees
Each line ends with the local moment (μB).
Element x y z (fractional)
Re1 0.250 0.750 0.500  1.63
Tl1 0.750 0.250 0.500  -0.04
Sr1 0.000 0.000 0.000  -0.01
Sr2 0.500 0.500 0.000  -0.01

***

Sr2MgPb: optimized geometry, PBE.

**M_tot**: 0.000 μB per formula unit
**Fermi-level density of states**: 2.07 states/eV per cell
**Crystal system**: orthorhombic
**Symmetry**: Pmmm, No. 47
**DFT total energy**: -0.1826 Ry/atom

Cell lengths 4.200, 4.057, 8.351 Å; angles 90.00, 90.00, 90.00 degrees
Element x y z (fractional)
Sr1 0.000 0.000 0.504
Sr2 0.000 0.000 0.996
Mg1 0.500 0.500 0.250
Pb1 0.500 0.500 0.750

***

Y2TeBr: optimized geometry, PBE.

**M_tot**: 1.005 μB per formula unit
**Fermi-level density of states**: 2.25 states/eV per cell
**ΔE_f (raw)**: -0.93 eV per atom
**Crystal system**: trigonal
**Symmetry**: R3m, No. 160
**DFT total energy**: -0.3944 Ry/atom

Cell lengths 10.468, 10.468, 10.468 Å; angles 22.30, 22.30, 22.30 degrees
Each line ends with the local moment (μB).
Element x y z (fractional)
Te1 0.733 0.733 0.733  -0.01
Y1 0.242 0.242 0.242  0.31
Y2 0.008 0.008 0.008  0.14
Br1 0.517 0.517 0.517  0.00

***

La4TlSeBr2: optimized geometry, PBE.

**M_tot**: 0.000 μB per formula unit
**Fermi-level density of states**: 5.28 states/eV per cell
**ΔE_f (raw)**: -1.24 eV per atom
**Crystal system**: monoclinic
**Symmetry**: P2/m, No. 10
**DFT total energy**: -0.3567 Ry/atom

Cell lengths 4.491, 7.620, 7.695 Å; angles 69.75, 90.00, 90.00 degrees
Element x y z (fractional)
La1 0.000 0.252 0.264
La2 0.000 0.748 0.736
Br1 0.000 0.000 0.000
Tl1 0.500 0.500 0.000
Br2 0.500 0.000 0.500
La3 0.500 0.734 0.269
La4 0.500 0.266 0.731
Se1 0.000 0.500 0.500

***

MgMn2Pb: optimized geometry, PBE.

**M_tot**: 7.503 μB per formula unit
**Fermi-level density of states**: 3.18 states/eV per cell
**Crystal system**: trigonal
**Symmetry**: R-3m, No. 166
**DFT total energy**: -0.3991 Ry/atom

Cell lengths 9.507, 9.507, 9.507 Å; angles 19.14, 19.14, 19.14 degrees
Each line ends with the local moment (μB).
Element x y z (fractional)
Pb1 0.250 0.250 0.250  -0.04
Mg1 0.750 0.750 0.750  -0.04
Mn1 0.004 0.004 0.004  3.69
Mn2 0.496 0.496 0.496  3.69

***

LaPrGe: optimized geometry, PBE.

**M_tot**: 0.299 μB per formula unit
**Fermi-level density of states**: 11.40 states/eV per cell
**Crystal system**: hexagonal
**Symmetry**: P-62m, No. 189
**DFT total energy**: -0.3966 Ry/atom

Cell lengths 4.409, 8.288, 8.288 Å; angles 120.00, 90.00, 90.00 degrees
Each line ends with the local moment (μB).
Element x y z (fractional)
Pr1 0.000 0.000 0.264  0.07
Ge1 0.000 0.667 0.333  -0.01
La1 0.500 0.586 0.000  0.07
La2 0.500 0.414 0.414  0.07
Ge2 0.000 0.333 0.667  -0.01
Pr2 0.000 0.736 0.736  0.07
Pr3 0.000 0.264 0.000  0.07
La3 0.500 0.000 0.586  0.07
Ge3 0.500 0.000 0.000  -0.01